{"formula": "Mg5Tl8Pb", "functional": "PBE-GGA", "state": "optimized geometry", "sg": "No. 82", "formation_energy_mev_per_atom": 38, "dft_energy_ev_per_atom": -2.148, "dos_ef_per_ev_cell": 5.23, "lattice": [[7.951, 0.022, -0.037], [-2.670, 7.489, 0.037], [-2.611, -3.776, 6.491]], "species": ["Mg", "Pb", "Tl", "Tl", "Tl", "Mg", "Tl", "Tl", "Tl", "Tl", "Mg", "Tl", "Mg", "Mg"], "fractional_positions": [[0.777, 0.651, 0.689], [0.250, 0.500, 0.750], [0.136, 0.745, 0.069], [0.646, 0.400, 0.909], [0.509, 0.600, 0.246], [0.311, 0.088, 0.962], [0.609, 0.933, 0.864], [0.091, 0.737, 0.491], [0.754, 0.263, 0.354], [0.325, 0.255, 0.391], [0.874, 0.912, 0.223], [0.931, 0.067, 0.675], [0.500, 0.000, 0.500], [0.038, 0.349, 0.126]]}